# Er2Sc2Tl3 (PBE, relaxed)
data_Er2Sc2Tl3
_cell_length_a 4.5079
_cell_length_b 23.7516
_cell_length_c 3.3436
_cell_angle_alpha 90.00
_cell_angle_beta 90.00
_cell_angle_gamma 90.00
_symmetry_space_group_name_H-M 'C m m m'
_symmetry_Int_Tables_number 65
_symmetry_space_group_name_Hall '-C 2 2'
loop_
_atom_site_label
_atom_site_type_symbol
_atom_site_fract_x
_atom_site_fract_y
_atom_site_fract_z
_atom_site_occupancy
Er1 Er 0.0000 0.0730 0.0000 1
Sc1 Sc 0.0000 0.2064 0.0000 1
Tl1 Tl 0.0000 0.3449 0.5000 1
Tl2 Tl 0.0000 0.5000 0.5000 1
# Relative energy among the computed polymorphs   0.0212 eV per atom
# Calculated formation energy   -0.15 eV per atom
# Mass density   9.63 g/cm³


# ErSc2Tl2 (PBE, relaxed)
data_ErSc2Tl2
_cell_length_a 3.6567
_cell_length_b 5.1645
_cell_length_c 13.3846
_cell_angle_alpha 90.00
_cell_angle_beta 97.85
_cell_angle_gamma 90.00
_symmetry_space_group_name_H-M 'P 1 21/m 1'
_symmetry_Int_Tables_number 11
loop_
_symmetry_equiv_pos_as_xyz
'x,y,z'
'-x,-y,-z'
'-x,y+1/2,-z'
'x,-y+1/2,z'
loop_
_atom_site_label
_atom_site_type_symbol
_atom_site_fract_x
_atom_site_fract_y
_atom_site_fract_z
_atom_site_occupancy
Er1 Er 0.1488 0.2500 0.2985 1
Sc1 Sc 0.0509 0.7500 0.1024 1
Sc2 Sc 0.2414 0.7500 0.4831 1
Tl1 Tl 0.3505 0.2500 0.7007 1
Tl2 Tl 0.4539 0.7500 0.9084 1
# Relative energy among the computed polymorphs   0.0149 eV per atom
# Calculated formation energy   -0.24 eV per atom
# Mass density   8.83 g/cm³


# Er2Sc3Tl3 (PBE, relaxed)
data_Er2Sc3Tl3
_cell_length_a 4.7737
_cell_length_b 4.7830
_cell_length_c 8.7972
_cell_angle_alpha 90.00
_cell_angle_beta 90.00
_cell_angle_gamma 90.00
_symmetry_space_group_name_H-M 'P m m m'
_symmetry_Int_Tables_number 47
loop_
_symmetry_equiv_pos_as_xyz
'x,y,z'
'-x,-y,-z'
'-x,-y,z'
'x,y,-z'
'x,-y,-z'
'-x,y,z'
'-x,y,-z'
'x,-y,z'
loop_
_atom_site_label
_atom_site_type_symbol
_atom_site_fract_x
_atom_site_fract_y
_atom_site_fract_z
_atom_site_occupancy
Er1 Er 0.0000 0.0000 0.2441 1
Sc1 Sc 0.0000 0.5000 0.5000 1
Sc2 Sc 0.5000 0.5000 0.2393 1
Tl1 Tl 0.0000 0.5000 0.0000 1
Tl2 Tl 0.5000 0.0000 0.0000 1
Tl3 Tl 0.5000 0.0000 0.5000 1
# Calculated formation energy   -0.21 eV per atom
# Mass density   8.95 g/cm³


# ErSc2Tl3 (PBE, relaxed)
data_ErSc2Tl3
_cell_length_a 3.6279
_cell_length_b 3.6279
_cell_length_c 11.1834
_cell_angle_alpha 90.00
_cell_angle_beta 90.00
_cell_angle_gamma 90.00
_symmetry_space_group_name_H-M 'P 4/m m m'
_symmetry_Int_Tables_number 123
_symmetry_space_group_name_Hall '-P 4 2'
loop_
_atom_site_label
_atom_site_type_symbol
_atom_site_fract_x
_atom_site_fract_y
_atom_site_fract_z
_atom_site_occupancy
Er1 Er 0.0000 0.0000 0.0000 1
Sc1 Sc 0.0000 0.0000 0.3401 1
Tl1 Tl 0.5000 0.5000 0.1786 1
Tl2 Tl 0.5000 0.5000 0.5000 1
# Calculated formation energy   -0.27 eV per atom
# Mass density   9.82 g/cm³


# Er3Sc2Tl4 (PBE, relaxed)
data_Er3Sc2Tl4
_cell_length_a 6.9464
_cell_length_b 14.7320
_cell_length_c 9.8311
_cell_angle_alpha 90.00
_cell_angle_beta 90.00
_cell_angle_gamma 90.00
_symmetry_space_group_name_H-M 'C m c e'
_symmetry_Int_Tables_number 64
_symmetry_space_group_name_Hall '-C 2ac 2'
loop_
_atom_site_label
_atom_site_type_symbol
_atom_site_fract_x
_atom_site_fract_y
_atom_site_fract_z
_atom_site_occupancy
Er1 Er 0.0000 0.0000 0.0000 1
Er2 Er 0.2500 0.2156 0.2500 1
Sc1 Sc 0.0000 0.1015 0.5332 1
Tl1 Tl 0.0000 0.2020 0.9823 1
Tl2 Tl 0.2500 0.0066 0.7500 1
# Relative energy among the computed polymorphs   0.1166 eV per atom
# Calculated formation energy   -0.10 eV per atom
# Mass density   9.30 g/cm³


# Er7ScTl4 (PBE, relaxed)
data_Er7ScTl4
_cell_length_a 14.9045
_cell_length_b 5.6466
_cell_length_c 9.6389
_cell_angle_alpha 90.00
_cell_angle_beta 121.56
_cell_angle_gamma 90.00
_symmetry_space_group_name_H-M 'C 1 2/m 1'
_symmetry_Int_Tables_number 12
loop_
_symmetry_equiv_pos_as_xyz
'x,y,z'
'-x,-y,-z'
'-x,y,-z'
'x,-y,z'
'x+1/2,y+1/2,z'
'-x+1/2,-y+1/2,-z'
'-x+1/2,y+1/2,-z'
'x+1/2,-y+1/2,z'
loop_
_atom_site_label
_atom_site_type_symbol
_atom_site_fract_x
_atom_site_fract_y
_atom_site_fract_z
_atom_site_occupancy
Er1 Er 0.0000 0.0000 0.0000 1
Er2 Er 0.0697 0.5000 0.4078 1
Er3 Er 0.2028 0.5000 0.8794 1
Er4 Er 0.2486 0.5000 0.2898 1
Sc1 Sc 0.0000 0.5000 0.0000 1
Tl1 Tl 0.0516 0.0000 0.7096 1
Tl2 Tl 0.1830 0.0000 0.3417 1
# Calculated formation energy   0.00 eV per atom
# Mass density   9.77 g/cm³